1.
A plane-wave DFT calculation with PBE-GGA was carried out for an optimized crystal structure of AcNd2Ho.

## Properties
For the calculated total energy, the calculation gives -4.52 eV/atom.

Cell: 5.2353 5.2353 5.2851 Å, 90.00 90.00 90.00°
Space group P4/mmm (No. 123)
Symmetry-distinct sites (fractional):
Ac  0.0000  0.0000  0.0000 [1 per cell]
Nd  0.0000  0.5000  0.5000 [2 per cell]
Ho  0.5000  0.5000  0.0000 [1 per cell]

2.
A plane-wave DFT calculation with PBE-GGA was carried out for an optimized crystal structure of NbCd3Cl.

## Properties
For the calculated total energy, the calculation gives -1.94 eV/atom.

Cell: 5.1912 5.1912 5.1912 Å, 90.00 90.00 90.00°
Space group Pm-3m (No. 221)
Symmetry-distinct sites (fractional):
Nb  0.0000  0.0000  0.0000 [1 per cell]
Cd  0.0000  0.5000  0.5000 [3 per cell]
Cl  0.5000  0.5000  0.5000 [1 per cell]

Going through the records in order, we get M_tot values of 0.00; 3.03 μB per cell.
Going through the records in order, we get DOS(E_F) values of 1.618; 0.803 states/eV/atom.